! BeIr2Ru (SCAN, PBEsol geometry); values from VASP
! D(E_F), states/eV per cell: 2.36
! E_form, meV/atom: -284
! Symmetry: P4mm
! Total energy, eV per atom: -45.63
&SYSTEM
  ibrav = 0, nat = 4, ntyp = 3
/
ATOMIC_SPECIES
Be 9.01 Be.upf
Ir 192.22 Ir.upf
Ru 101.07 Ru.upf
ATOMIC_POSITIONS angstrom
Be 0.0000 0.0000 0.0000
Ir 0.0000 0.0000 3.3033
Ir 1.3642 1.3642 1.3533
Ru 1.3642 1.3642 5.1069
CELL_PARAMETERS angstrom
2.7284 0.0000 0.0000
0.0000 2.7284 0.0000
0.0000 0.0000 6.5737